Entry from OQMD: a geometry-optimized PaCoAsO structure (PBE+U).

POSCAR file:
```
PaCoAsO
1.0
-0.6336 2.9085 2.5271
-3.8522 -0.5309 -0.3547
0.1743 -5.5975 6.4862
As Co O Pa
2 2 2 2
Direct
0.0000 0.5000 0.3255 As
0.5000 0.0000 0.6745 As
0.0000 0.0000 0.5000 Co
0.5000 0.5000 0.5000 Co
0.0000 0.0000 0.0000 O
0.5000 0.5000 0.0000 O
0.5000 0.0000 0.1610 Pa
0.0000 0.5000 0.8390 Pa
```

Results
Space group ... P4/nmm, No. 129
E above lowest polymorph ... 0 meV per atom

=====

Entry from OQMD: a geometry-optimized PaCoAsO structure (PBE+U).

POSCAR file:
```
PaCoAsO
1.0
6.0731 0.0000 0.0000
0.0000 6.0731 0.0000
0.0000 0.0000 4.4596
As Co O Pa
2 2 2 2
Direct
0.0000 0.5000 0.4971 As
0.5000 0.0000 0.5029 As
0.5000 0.0000 0.0028 Co
0.0000 0.5000 0.9972 Co
0.0000 0.0000 0.0000 O
0.5000 0.5000 0.0000 O
0.0000 0.0000 0.5000 Pa
0.5000 0.5000 0.5000 Pa
```

Results
Space group ... P4/nmm, No. 129
E above lowest polymorph ... 480 meV per atom

=====

Entry from OQMD: a geometry-optimized Co2As2PbO8 structure (PBE+U).

POSCAR file:
```
Co2As2PbO8
1.0
-3.1821 -7.1441 1.7017
-0.3217 -7.6443 -2.3498
1.7676 -7.4974 2.1735
As Co O Pb
2 2 8 1
Direct
0.4203 0.4203 0.4203 As
0.5797 0.5797 0.5797 As
0.1706 0.1706 0.1706 Co
0.8294 0.8294 0.8294 Co
0.4317 0.7823 0.1206 O
0.8794 0.5683 0.2177 O
0.3448 0.3448 0.3448 O
0.7823 0.1206 0.4317 O
0.2177 0.8794 0.5683 O
0.6552 0.6552 0.6552 O
0.1206 0.4317 0.7823 O
0.5683 0.2177 0.8794 O
0.0000 0.0000 0.0000 Pb
```

Results
Space group ... R-3, No. 148

=====

Entry from OQMD: a geometry-optimized PmCoAsO structure (PBE+U).

POSCAR file:
```
PmCoAsO
1.0
-3.6511 2.4421 0.4721
-2.3007 -4.2060 3.9641
2.5365 2.9105 4.5603
As Co O Pm
2 2 2 2
Direct
0.0000 0.2644 0.4149 As
0.0000 0.7356 0.9149 As
0.5000 0.8753 0.0420 Co
0.5000 0.1247 0.5420 Co
0.5000 0.8445 0.3834 O
0.5000 0.1555 0.8834 O
0.0000 0.7403 0.4138 Pm
0.0000 0.2597 0.9138 Pm
```

Results
Space group ... Pmc2_1, No. 26
E above lowest polymorph ... 264 meV per atom

=====

Entry from OQMD: a geometry-optimized PmCoAsO structure (PBE+U).

POSCAR file:
```
PmCoAsO
1.0
-1.0865 3.7273 1.0478
-3.4413 -0.4310 -2.0354
-3.5316 -2.8793 6.5807
As Co O Pm
2 2 2 2
Direct
0.7500 0.7500 0.3592 As
0.2500 0.2500 0.6408 As
0.7500 0.2500 0.5000 Co
0.2500 0.7500 0.5000 Co
0.7500 0.2500 0.0000 O
0.2500 0.7500 0.0000 O
0.2500 0.2500 0.1453 Pm
0.7500 0.7500 0.8547 Pm
```

Results
Space group ... P4/nmm, No. 129
E above lowest polymorph ... 0 meV per atom

=====

Entry from OQMD: a geometry-optimized PmCoAsO structure (PBE+U).

POSCAR file:
```
PmCoAsO
1.0
4.3641 0.0000 0.0000
0.0000 4.3641 0.0000
0.0000 0.0000 9.2279
As Co O Pm
2 2 2 2
Direct
0.7500 0.7500 0.3017 As
0.2500 0.2500 0.6983 As
0.7500 0.7500 0.0189 Co
0.2500 0.2500 0.9811 Co
0.7500 0.2500 0.0000 O
0.2500 0.7500 0.0000 O
0.7500 0.2500 0.5000 Pm
0.2500 0.7500 0.5000 Pm
```

Results
Space group ... P4/nmm, No. 129
E above lowest polymorph ... 1494 meV per atom

=====

Entry from OQMD: a geometry-optimized PmCoAsO structure (PBE+U).

POSCAR file:
```
PmCoAsO
1.0
4.3374 0.0000 0.0000
0.0000 4.1687 0.0000
0.0000 0.0000 7.1269
As Co O Pm
2 2 2 2
Direct
0.0000 0.2482 0.2760 As
0.0000 0.7518 0.7760 As
0.0000 0.7476 0.4469 Co
0.0000 0.2524 0.9469 Co
0.5000 0.7472 0.4321 O
0.5000 0.2528 0.9321 O
0.5000 0.7527 0.0990 Pm
0.5000 0.2473 0.5990 Pm
```

Results
Space group ... Pmc2_1, No. 26
E above lowest polymorph ... 268 meV per atom

=====

Entry from OQMD: a geometry-optimized PrCoAsO structure (PBE+U).

POSCAR file:
```
PrCoAsO
1.0
6.0543 0.0000 0.0000
0.0000 4.4569 0.0000
-0.0001 0.0000 6.3147
As Co O Pr
2 2 2 2
Direct
0.0808 0.0000 0.2642 As
0.5808 0.0000 0.7353 As
0.9596 0.5000 0.1260 Co
0.4595 0.5000 0.8736 Co
0.6216 0.5000 0.1468 O
0.1215 0.5000 0.8526 O
0.5834 0.0000 0.2587 Pr
0.0833 0.0000 0.7407 Pr
```

Results
Space group ... Pmc2_1, No. 26

=====

Entry from OQMD: a geometry-optimized Pr2ZnCoAs2O2 structure (PBE+U).

POSCAR file:
```
Pr2ZnCoAs2O2
1.0
-0.4576 3.8548 1.1576
-3.2338 -1.0458 2.2041
5.3222 -1.4994 7.0973
As Co O Pr Zn
2 1 2 2 1
Direct
0.0000 0.5000 0.3299 As
0.5000 0.0000 0.6701 As
0.0000 0.0000 0.5000 Co
0.0000 0.0000 0.0000 O
0.5000 0.5000 0.0000 O
0.5000 0.0000 0.1334 Pr
0.0000 0.5000 0.8666 Pr
0.5000 0.5000 0.5000 Zn
```

Results
Space group ... P-4m2, No. 115

=====

Entry from OQMD: a geometry-optimized CoAsPtO structure (PBE+U).

POSCAR file:
```
CoAsPtO
1.0
3.9148 0.0000 0.0000
0.0000 3.9148 0.0000
0.0000 0.0000 8.8298
As Co O Pt
2 2 2 2
Direct
0.7500 0.7500 0.3191 As
0.2500 0.2500 0.6809 As
0.7500 0.7500 0.0484 Co
0.2500 0.2500 0.9516 Co
0.7500 0.2500 0.0000 O
0.2500 0.7500 0.0000 O
0.7500 0.2500 0.5000 Pt
0.2500 0.7500 0.5000 Pt
```

Results
Space group ... P4/nmm, No. 129
E above lowest polymorph ... 0 meV per atom

=====

Entry from OQMD: a geometry-optimized CoAsPtO structure (PBE+U).

POSCAR file:
```
CoAsPtO
1.0
4.0902 0.0000 0.0000
0.0000 5.5601 0.0000
0.0000 0.0000 5.5299
As Co O Pt
2 2 2 2
Direct
0.0000 0.8214 0.3835 As
0.0000 0.1786 0.8835 As
0.5000 0.3557 0.0370 Co
0.5000 0.6443 0.5370 Co
0.5000 0.3231 0.3906 O
0.5000 0.6769 0.8906 O
0.0000 0.2664 0.4428 Pt
0.0000 0.7336 0.9428 Pt
```

Results
Space group ... Pmc2_1, No. 26
E above lowest polymorph ... 313 meV per atom

=====

Entry from OQMD: a geometry-optimized CoAsPtO structure (PBE+U).

POSCAR file:
```
CoAsPtO
1.0
-2.3579 -3.0451 0.0717
2.2759 -1.7011 2.6008
-3.4799 2.8095 4.8829
As Co O Pt
2 2 2 2
Direct
0.0000 0.5000 0.2933 As
0.5000 0.0000 0.7067 As
0.0000 0.0000 0.5000 Co
0.5000 0.5000 0.5000 Co
0.0000 0.0000 0.0000 O
0.5000 0.5000 0.0000 O
0.5000 0.0000 0.2037 Pt
0.0000 0.5000 0.7963 Pt
```

Results
Space group ... P4/nmm, No. 129
E above lowest polymorph ... 751 meV per atom

=====

no.,total energy (Ha/atom)
1,-0.262
2,-0.244
3,-0.222
4,-0.228
5,-0.238
6,-0.183
7,-0.228
8,-0.227
9,-0.222
10,-0.208
11,-0.196
12,-0.180